Entry 1:
A plane-wave DFT calculation with GGA-PBE was carried out for a geometry-optimized TmAlGe structure.

Unit cell a=4.0486 b=10.2908 c=5.7074 alpha=90.00 beta=90.00 gamma=90.00
Sites, in units of the cell vectors:
Tm  0.0000  0.1895  0.2500
Tm  0.0000  0.8105  0.7500
Tm  0.5000  0.3105  0.7500
Tm  0.5000  0.6895  0.2500
Al  0.0000  0.5000  0.0000
Al  0.0000  0.5000  0.5000
Al  0.5000  0.0000  0.0000
Al  0.5000  0.0000  0.5000
Ge  0.0000  0.1083  0.7500
Ge  0.0000  0.8917  0.2500
Ge  0.5000  0.3917  0.2500
Ge  0.5000  0.6083  0.7500

Output
The total energy comes out at -4.908 eV/atom. The calculation puts the magnetization at 0.002 μB/cell.

---

Entry 2:
A plane-wave DFT calculation with GGA-PBE was carried out for a geometry-optimized TmAlGe structure.

Unit cell a=6.5209 b=6.5209 c=6.5209 alpha=90.00 beta=90.00 gamma=90.00
Sites, in units of the cell vectors:
Tm  0.0000  0.0000  0.0000
Tm  0.0000  0.5000  0.5000
Tm  0.5000  0.0000  0.5000
Tm  0.5000  0.5000  0.0000
Al  0.2500  0.2500  0.7500
Al  0.2500  0.7500  0.2500
Al  0.7500  0.2500  0.2500
Al  0.7500  0.7500  0.7500
Ge  0.0000  0.0000  0.5000
Ge  0.0000  0.5000  0.0000
Ge  0.5000  0.0000  0.0000
Ge  0.5000  0.5000  0.5000

Output
The total energy comes out at -4.301 eV/atom. The calculation puts the magnetization at 0.006 μB/cell.

---

Entry 3:
A plane-wave DFT calculation with GGA-PBE was carried out for a geometry-optimized TmAlGe structure.

Unit cell a=6.6607 b=6.6607 c=6.6607 alpha=90.00 beta=90.00 gamma=90.00
Sites, in units of the cell vectors:
Tm  0.0000  0.0000  0.0000
Tm  0.0000  0.5000  0.5000
Tm  0.5000  0.0000  0.5000
Tm  0.5000  0.5000  0.0000
Al  0.2500  0.2500  0.7500
Al  0.2500  0.7500  0.2500
Al  0.7500  0.2500  0.2500
Al  0.7500  0.7500  0.7500
Ge  0.2500  0.2500  0.2500
Ge  0.2500  0.7500  0.7500
Ge  0.7500  0.2500  0.7500
Ge  0.7500  0.7500  0.2500

Output
The total energy comes out at -4.281 eV/atom. The calculation puts the magnetization at 0.002 μB/cell.

---

Entry 4:
A plane-wave DFT calculation with GGA-PBE was carried out for a geometry-optimized TmAl2Ge2 structure.

Unit cell a=4.2755 b=4.2755 c=6.5132 alpha=90.00 beta=90.00 gamma=120.00
Sites, in units of the cell vectors:
Tm  0.0000  0.0000  0.0000
Al  0.3333  0.6667  0.6479
Al  0.6667  0.3333  0.3521
Ge  0.3333  0.6667  0.2529
Ge  0.6667  0.3333  0.7471

Output
The total energy comes out at -4.624 eV/atom. The calculation puts the magnetization at 0.006 μB/cell.